# SrCuSF

A relaxed structure of SrCuSF (GGA-PBEsol, Alexandria via LeMat-Bulk).

POSCAR file:
```
SrCuSF
1.0
3.8942 0.0000 0.0000
0.0000 3.8942 0.0000
0.0000 0.0000 8.5430
Sr Cu S F
2 2 2 2
Cartesian
0.9735 0.9735 1.4648 Sr
2.9206 2.9206 7.0782 Sr
0.9735 2.9206 4.2715 Cu
2.9206 0.9735 4.2715 Cu
0.9735 0.9735 5.6412 S
2.9206 2.9206 2.9017 S
0.9735 2.9206 0.0000 F
2.9206 0.9735 0.0000 F
```

Computed properties:
Uncorrected energy, eV/atom: -5.241
Size of the total moment, Bohr magnetons per cell: 0.0
Crystal system: tetragonal
Uncorrected formation energy, eV per formula unit: -8.48

***

# ScCuF2

A relaxed structure of ScCuF2 (GGA-PBEsol, Alexandria via LeMat-Bulk).

POSCAR file:
```
ScCuF2
1.0
1.4501 0.8372 8.3698
-1.4501 0.8372 8.3698
0.0000 -1.6745 8.3698
Sc Cu F
1 1 2
Cartesian
0.0000 0.0000 0.0000 Sc
0.0000 0.0000 12.5547 Cu
0.0000 0.0000 9.6524 F
0.0000 0.0000 15.4571 F
```

Computed properties:
Uncorrected energy, eV/atom: -5.620
Size of the total moment, Bohr magnetons per cell: 0.0
Crystal system: trigonal
Uncorrected formation energy, eV per formula unit: -7.69